DFT (GGA-PBE) results for a relaxed structure of TaSbTe2Pd.

CIF file:
```
data_TaSbTe2Pd
_symmetry_space_group_name_H-M 'P 4/m m m'
_symmetry_Int_Tables_number 123
_symmetry_space_group_name_Hall '-P 4 2'
_cell_length_a 5.3413
_cell_length_b 5.3413
_cell_length_c 5.3846
_cell_angle_alpha 90.00
_cell_angle_beta 90.00
_cell_angle_gamma 90.00
loop_
_atom_site_label
_atom_site_fract_x
_atom_site_fract_y
_atom_site_fract_z
_atom_site_occupancy
Ta1 0.0000 0.0000 0.0000 1
Sb1 0.0000 0.0000 0.5000 1
Te1 0.0000 0.5000 0.0000 1
Pd1 0.5000 0.5000 0.5000 1
```

Output
energy above the lowest structure with this stoichiometry: 0.000 eV/atom

DFT (GGA-PBE) results for a relaxed structure of BaIn2BiPd.

CIF file:
```
data_BaIn2BiPd
_symmetry_space_group_name_H-M 'P 4/m m m'
_symmetry_Int_Tables_number 123
_symmetry_space_group_name_Hall '-P 4 2'
_cell_length_a 5.2329
_cell_length_b 5.2329
_cell_length_c 5.9924
_cell_angle_alpha 90.00
_cell_angle_beta 90.00
_cell_angle_gamma 90.00
loop_
_atom_site_label
_atom_site_fract_x
_atom_site_fract_y
_atom_site_fract_z
_atom_site_occupancy
Ba1 0.0000 0.0000 0.0000 1
In1 0.0000 0.5000 0.5000 1
Bi1 0.5000 0.5000 0.0000 1
Pd1 0.0000 0.0000 0.5000 1
```

Output
DFT formation energy: -0.39 eV/atom

DFT (GGA-PBE) results for a relaxed structure of TaCd3C.

CIF file:
```
data_TaCd3C
_symmetry_space_group_name_H-M 'P m -3 m'
_symmetry_Int_Tables_number 221
_symmetry_space_group_name_Hall '-P 4 2 3'
_cell_length_a 5.5460
_cell_length_b 5.5460
_cell_length_c 5.5460
_cell_angle_alpha 90.00
_cell_angle_beta 90.00
_cell_angle_gamma 90.00
loop_
_atom_site_label
_atom_site_fract_x
_atom_site_fract_y
_atom_site_fract_z
_atom_site_occupancy
Ta1 0.0000 0.0000 0.0000 1
Cd1 0.0000 0.0000 0.5000 1
C1 0.5000 0.5000 0.5000 1
```

Output
DFT formation energy: 2.40 eV/atom
energy above the lowest structure with this stoichiometry: 1.001 eV/atom

E
In order: -4.8955, -3.6888, -2.3596
Unit: eV per atom
DOS at the Fermi energy
In order: 4.64, 2.87, 4.60
Unit: states/eV per cell
Total moment
In order: 0.0, 0.0, 0.8
Unit: μB per cell